No. 1
CsCe2AgSe4 | PBE-GGA | optimized geometry

Cell: 4.3935 7.7741 15.1128 Å, 90.00 90.00 106.41°
Closest atoms and distances in Å follow each position.
Fractional coordinates of all 16 atoms:
Se  0.2587  0.5174  0.1014  1 Ag 2.66, 3 Ce 2.97-2.98
Se  0.5664  0.1328  0.2500  2 Ag 2.63
Se  0.0000  0.0000  0.0000  4 Ce 3.08
Se  0.0000  0.0000  0.5000  4 Ce 3.08
Se  0.4336  0.8672  0.7500  2 Ag 2.63
Se  0.7413  0.4826  0.6014  1 Ag 2.66, 3 Ce 2.97-2.98
Se  0.2587  0.5174  0.3986  1 Ag 2.66, 3 Ce 2.97-2.98
Se  0.7413  0.4826  0.8986  1 Ag 2.66, 3 Ce 2.97-2.98
Ce  0.6305  0.2611  0.4375  6 Se 2.97-3.08
Ce  0.6305  0.2611  0.0625  6 Se 2.97-3.08
Ce  0.3695  0.7389  0.5625  6 Se 2.97-3.08
Ce  0.3695  0.7389  0.9375  6 Se 2.97-3.08
Cs  0.8856  0.7711  0.2500  6 Se 3.48-3.67
Cs  0.1144  0.2289  0.7500  6 Se 3.48-3.67
Ag  0.1634  0.3268  0.2500  4 Se 2.63-2.66
Ag  0.8366  0.6732  0.7500  4 Se 2.63-2.66

Summary:
E_tot: -82.064 eV/cell
DOS at the Fermi energy: 1.637 states/eV per atom
E_form (uncorrected): -1.440 eV/atom



No. 2
CsCe4Ag3Se12 | PBE-GGA | optimized geometry

Cell: 9.1429 9.1429 9.1429 Å, 109.47 109.47 109.47°
Closest atoms and distances in Å follow each position.
Fractional coordinates of all 20 atoms:
Ce  0.5000  0.0000  0.0000  6 Se 2.87
Ce  0.0000  0.0000  0.5000  6 Se 2.87
Ce  0.0000  0.5000  0.0000  6 Se 2.87
Ce  0.5000  0.5000  0.5000  6 Se 2.87
Se  0.3194  0.8319  0.1514  1 Ag 2.60, 2 Ce 2.87
Se  0.1681  0.8486  0.6806  1 Ag 2.60, 2 Ce 2.87
Se  0.6806  0.8319  0.5125  1 Ag 2.60, 2 Ce 2.87
Se  0.1514  0.3194  0.8319  1 Ag 2.60, 2 Ce 2.87
Se  0.8486  0.6806  0.1681  1 Ag 2.60, 2 Ce 2.87
Se  0.6806  0.1681  0.8486  1 Ag 2.60, 2 Ce 2.87
Se  0.4875  0.3194  0.1681  1 Ag 2.60, 2 Ce 2.87
Se  0.1681  0.4875  0.3194  1 Ag 2.60, 2 Ce 2.87
Se  0.8319  0.5125  0.6806  1 Ag 2.60, 2 Ce 2.87
Se  0.8319  0.1514  0.3194  1 Ag 2.60, 2 Ce 2.87
Se  0.3194  0.1681  0.4875  1 Ag 2.60, 2 Ce 2.87
Se  0.5125  0.6806  0.8319  1 Ag 2.60, 2 Ce 2.87
Ag  0.5000  0.0000  0.5000  4 Se 2.60
Ag  0.5000  0.5000  0.0000  4 Se 2.60
Ag  0.0000  0.5000  0.5000  4 Se 2.60
Cs  0.0000  0.0000  0.0000  12 Se 3.81

Summary:
E_tot: -93.647 eV/cell
DOS at the Fermi energy: 0.678 states/eV per atom
E_form (uncorrected): -0.935 eV/atom



No. 3
Cs2CeAg2Te4 | PBE-GGA | optimized geometry

Cell: 4.6245 9.0179 8.6763 Å, 107.56 105.46 90.00°
Closest atoms and distances in Å follow each position.
Fractional coordinates of all 9 atoms:
Te  0.4873  0.2280  0.9746  1 Ag 2.84, 2 Ce 3.15
Te  0.5127  0.7720  0.0254  1 Ag 2.84, 2 Ce 3.15
Te  0.1927  0.1767  0.3855  3 Ag 2.86-2.94, 1 Ce 3.12
Te  0.8073  0.8233  0.6145  3 Ag 2.86-2.94, 1 Ce 3.12
Ce  0.0000  0.0000  0.0000  6 Te 3.12-3.15
Cs  0.1359  0.5721  0.2718  7 Te 3.82-4.04, 3 Ag 4.23-4.24
Cs  0.8641  0.4279  0.7282  7 Te 3.82-4.04, 3 Ag 4.23-4.24
Ag  0.6789  0.9836  0.3577  4 Te 2.84-2.94
Ag  0.3211  0.0164  0.6423  4 Te 2.84-2.94

Summary:
E_tot: -34.066 eV/cell
DOS at the Fermi energy: 0.420 states/eV per atom
E_form (uncorrected): -0.906 eV/atom



No. 4
Ce2Cu15Ag2 | PBE-GGA | optimized geometry

Cell: 6.5959 6.5959 6.5959 Å, 82.94 82.94 82.94°
Closest atoms and distances in Å follow each position.
Fractional coordinates of all 19 atoms:
Cu  0.0000  0.2998  0.7002  8 Cu 2.51-2.65
Cu  0.2998  0.0000  0.7002  8 Cu 2.51-2.65
Cu  0.3479  0.8419  0.3479  8 Cu 2.51-2.65, 1 Ag 2.73
Cu  0.0000  0.7002  0.2998  8 Cu 2.51-2.65
Cu  0.0000  0.5000  0.0000  8 Cu 2.51-2.54, 2 Ag 2.65
Cu  0.6521  0.1581  0.6521  8 Cu 2.51-2.65, 1 Ag 2.73
Cu  0.5000  0.0000  0.0000  8 Cu 2.51-2.54, 2 Ag 2.65
Cu  0.8419  0.3479  0.3479  8 Cu 2.51-2.65, 1 Ag 2.73
Cu  0.0000  0.0000  0.5000  8 Cu 2.51-2.54, 2 Ag 2.65
Cu  0.1581  0.6521  0.6521  8 Cu 2.51-2.65, 1 Ag 2.73
Cu  0.3479  0.3479  0.8419  8 Cu 2.51-2.65, 1 Ag 2.73
Cu  0.7002  0.2998  0.0000  8 Cu 2.51-2.65
Cu  0.2998  0.7002  0.0000  8 Cu 2.51-2.65
Cu  0.7002  0.0000  0.2998  8 Cu 2.51-2.65
Cu  0.6521  0.6521  0.1581  8 Cu 2.51-2.65, 1 Ag 2.73
Ag  0.8960  0.8960  0.8960  12 Cu 2.65-2.94, 1 Ag 2.65
Ag  0.1040  0.1040  0.1040  12 Cu 2.65-2.94, 1 Ag 2.65
Ce  0.6513  0.6513  0.6513  15 Cu 3.06-3.34, 1 Ag 3.12
Ce  0.3487  0.3487  0.3487  15 Cu 3.06-3.34, 1 Ag 3.12

Summary:
E_tot: -79.903 eV/cell
ΔH_f (0 K): -0.05 eV/atom
DOS at the Fermi energy: 0.981 states/eV per atom